1.
Computed, not measured: a relaxed Sr2YTe crystal at the PBE-GGA level of DFT. Values from VASP.

The structure in Quantum ESPRESSO input format:
```
&SYSTEM
  ibrav = 0, nat = 8, ntyp = 3
/
ATOMIC_SPECIES
Y 88.91 Y.upf
Sr 87.62 Sr.upf
Te 127.60 Te.upf
ATOMIC_POSITIONS crystal
Y 0.500 0.500 0.000
Y 0.250 0.750 0.500
Sr 0.699 0.125 0.250
Sr 0.051 0.625 0.250
Sr 0.375 0.301 0.750
Sr 0.875 0.949 0.750
Te 0.000 0.000 0.000
Te 0.750 0.250 0.500
CELL_PARAMETERS angstrom
10.171 0.000 0.000
0.000 10.171 0.000
5.085 5.085 3.259
```

Properties
- Total magnetization: 0.0 μB/f.u.
- Formation energy from raw total energies: -292 meV per atom

2.
Computed, not measured: a relaxed GeB2Rh crystal at the PBE-GGA level of DFT. Values from VASP.

The structure in Quantum ESPRESSO input format:
```
&SYSTEM
  ibrav = 0, nat = 8, ntyp = 3
/
ATOMIC_SPECIES
Ge 72.64 Ge.upf
B 10.81 B.upf
Rh 102.91 Rh.upf
ATOMIC_POSITIONS crystal
Ge 0.500 0.500 0.000
Ge 0.250 0.750 0.500
B 0.643 0.125 0.250
B 0.107 0.625 0.250
B 0.375 0.357 0.750
B 0.875 0.893 0.750
Rh 0.000 0.000 0.000
Rh 0.750 0.250 0.500
CELL_PARAMETERS angstrom
4.941 0.000 0.000
0.000 4.941 0.000
2.470 2.470 4.533
```

Properties
- Total magnetization: 0.0 μB/f.u.
- Energy of formation from the pure elements: 0.467 eV/atom

3.
Computed, not measured: a relaxed ThBeZn crystal at the PBE-GGA level of DFT. Values from VASP.

The structure in Quantum ESPRESSO input format:
```
&SYSTEM
  ibrav = 0, nat = 3, ntyp = 3
/
ATOMIC_SPECIES
Be 9.01 Be.upf
Zn 65.41 Zn.upf
Th 232.04 Th.upf
ATOMIC_POSITIONS crystal
Be 0.167 0.333 0.667
Zn 0.167 0.000 0.000
Th 0.667 0.667 0.333
CELL_PARAMETERS angstrom
-1.333 3.462 0.500
-3.974 -1.567 0.259
2.376 0.404 3.537
```

Properties
- Total magnetization: 0.0 μB/f.u.
- Polymorph energy (0 for the lowest one): 0.0 meV per atom
- Energy of formation from the pure elements: -0.065 eV/atom

4.
Computed, not measured: a relaxed LiScAgBi crystal at the PBE-GGA level of DFT. Values from VASP.

The structure in Quantum ESPRESSO input format:
```
&SYSTEM
  ibrav = 0, nat = 4, ntyp = 4
/
ATOMIC_SPECIES
Sc 44.96 Sc.upf
Bi 208.98 Bi.upf
Ag 107.87 Ag.upf
Li 6.94 Li.upf
ATOMIC_POSITIONS crystal
Sc 0.000 0.000 0.000
Bi 0.750 0.750 0.750
Ag 0.250 0.250 0.250
Li 0.500 0.500 0.500
CELL_PARAMETERS angstrom
-3.192 0.777 3.692
-3.936 -2.941 0.523
-0.227 -3.176 3.779
```

Properties
- Total magnetization: 0.0 μB/f.u.
- Energy of formation from the pure elements: -0.378 eV/atom